Arrangement w

Below is a relaxed TeMoIO2 crystal, with properties calculated at the PBE with a Hubbard U level.

The structure belongs to space group P4/mmm (No. 123); the cell edges are 4.180, 4.180 and 6.890 Å and the angles 90.00°, 90.00° and 90.00°. The asymmetric unit holds Te at (0.000, 0.000, 0.000), Mo at (0.500, 0.500, 0.500), I at (0.000, 0.000, 0.500) and O at (0.000, 0.500, 0.000).

The crystal system is tetragonal. The value obtained for the density of states at the Fermi level is 1.1 states/eV/f.u.

---

Arrangement x

Below is a relaxed TeMoIO2 crystal, with properties calculated at the PBE with a Hubbard U level.

The structure belongs to space group P4/mmm (No. 123); the cell edges are 4.071, 4.071 and 7.859 Å and the angles 90.00°, 90.00° and 90.00°. The asymmetric unit holds Te at (0.000, 0.000, 0.000), Mo at (0.500, 0.500, 0.500), I at (0.500, 0.500, 0.000) and O at (0.000, 0.500, 0.500).

The crystal system is tetragonal. The value obtained for the density of states at the Fermi level is 2.9 states/eV/f.u.

---

What is the stability order? It is arrangement x, arrangement w, from most stable to least stable.

---

Arrangement w

Below is a relaxed TiMoIO2 crystal, with properties calculated at the PBE with a Hubbard U level.

The structure belongs to space group P4/mmm (No. 123); the cell edges are 3.982, 3.982 and 5.903 Å and the angles 90.00°, 90.00° and 90.00°. The asymmetric unit holds Ti at (0.000, 0.000, 0.000), Mo at (0.500, 0.500, 0.500), I at (0.000, 0.000, 0.500) and O at (0.000, 0.500, 0.000).

The crystal system is tetragonal. The value obtained for the density of states at the Fermi level is 1.0 states/eV/f.u.

---

Arrangement x

Below is a relaxed TiMoIO2 crystal, with properties calculated at the PBE with a Hubbard U level.

The structure belongs to space group P4/mmm (No. 123); the cell edges are 3.988, 3.988 and 6.554 Å and the angles 90.00°, 90.00° and 90.00°. The asymmetric unit holds Ti at (0.000, 0.000, 0.000), Mo at (0.500, 0.500, 0.500), I at (0.500, 0.500, 0.000) and O at (0.000, 0.500, 0.500).

The crystal system is tetragonal. The value obtained for the density of states at the Fermi level is 3.3 states/eV/f.u.

---

What is the stability order? It is arrangement w, arrangement x, from most stable to least stable.